1.
## Li2CoO2F (PBE with a Hubbard U)

Data for an optimized crystal structure of Li2CoO2F.

## Properties
Calculated total energy: -5.403 eV/atom
Crystal system: trigonal

Lattice parameters (Å, degrees): 2.8476 2.8476 14.1697 90.00 90.00 120.00
Closest atoms and distances in Å follow each position.
Element x y z (fractional)
1 O 0.0000 0.0000 0.7612  3 Co 1.94, 3 Li 2.12
2 O 0.0000 0.0000 0.2388  3 Co 1.94, 3 Li 2.12
3 O 0.6667 0.3333 0.0937  3 Co 1.94, 3 Li 2.11
4 O 0.3333 0.6667 0.9063  3 Co 1.94, 3 Li 2.11
5 Li 0.0000 0.0000 0.0000  6 O 2.11
6 Li 0.6667 0.3333 0.3331  3 F 2.02, 3 O 2.12
7 Li 0.0000 0.0000 0.5000  6 F 2.03
8 Li 0.3333 0.6667 0.6669  3 F 2.02, 3 O 2.12
9 F 0.6667 0.3333 0.5836  6 Li 2.02-2.03
10 F 0.3333 0.6667 0.4164  6 Li 2.02-2.03
11 Co 0.6667 0.3333 0.8338  6 O 1.94
12 Co 0.3333 0.6667 0.1662  6 O 1.94

---

2.
## Li4Co7O3F13 (PBE with a Hubbard U)

Data for an optimized crystal structure of Li4Co7O3F13.

## Properties
Energy above the most stable polymorph in this dataset: 0.0 meV per atom
Crystal system: triclinic

Lattice parameters (Å, degrees): 5.9624 6.0703 10.4953 87.87 75.83 118.49
Closest atoms and distances in Å follow each position.
Element x y z (fractional)
1 O 0.2748 0.6626 0.6278  3 Co 1.87-2.03, 1 Li 1.98
2 O 0.2921 0.4004 0.8697  3 Co 1.92-1.98, 1 Li 1.97
3 O 0.2721 0.8886 0.8617  3 Co 1.89-2.01, 1 Li 1.97
4 F 0.7467 0.8787 0.3730  1 Li 1.96, 3 Co 2.11-2.17
5 F 0.2449 0.6075 0.1277  1 Li 1.97, 3 Co 2.09-2.20
6 F 0.2474 0.3936 0.3650  1 Li 1.94, 2 Co 2.04
7 F 0.7668 0.3899 0.8741  1 Li 1.97, 3 Co 2.12-2.18
8 F 0.7504 0.1011 0.1345  1 Li 1.95, 2 Co 2.04
9 F 0.2593 0.8534 0.3755  1 Li 1.92, 2 Co 2.02-2.05
10 F 0.2371 0.1394 0.1250  1 Li 1.94, 2 Co 2.03-2.04
11 F 0.7305 0.6432 0.1175  1 Li 1.95, 2 Co 2.00-2.05
12 F 0.7555 0.3417 0.3808  1 Li 1.94, 2 Co 2.02-2.06
13 F 0.7511 0.8553 0.8605  1 Li 2.07, 3 Co 2.11-2.24
14 F 0.7465 0.6250 0.6391  1 Li 2.01, 2 Co 2.10-2.17
15 F 0.7253 0.1333 0.6302  1 Li 2.00, 2 Co 2.12-2.13
16 F 0.2499 0.1243 0.6223  1 Li 1.96, 3 Co 2.14-2.16
17 Co 0.4430 0.7294 0.7623  3 O 1.87-1.92
18 Co 0.4968 0.4805 0.0011  1 O 1.98, 4 F 2.00-2.20
19 Co 0.4960 0.7471 0.2486  6 F 2.04-2.11
20 Co 0.4815 0.2477 0.7600  2 O 1.98-2.01, 4 F 2.12-2.18
21 Co 0.0216 0.7528 0.7494  2 O 2.01-2.03, 4 F 2.10-2.16
22 Co 0.9985 0.2435 0.2503  6 F 2.04-2.12
23 Co 0.4897 0.9973 0.4976  5 F 2.02-2.17, 1 O 2.02
24 Li 0.9016 0.1841 0.9406  3 F 1.95-2.07, 1 O 1.97
25 Li 0.1210 0.8220 0.0574  3 F 1.94-1.97, 1 O 1.97
26 Li 0.1249 0.3404 0.5587  3 F 1.94-2.00, 1 O 1.98
27 Li 0.8750 0.6672 0.4395  4 F 1.92-2.01

---

3.
## LiCo7O7F (PBE with a Hubbard U)

Data for an optimized crystal structure of LiCo7O7F.

## Properties
Calculated total energy: -5.863 eV/atom
Crystal system: trigonal

Lattice parameters (Å, degrees): 3.2869 3.2869 20.9493 90.00 90.00 120.00
Closest atoms and distances in Å follow each position.
Element x y z (fractional)
1 O 0.3333 0.6667 0.7498  1 Li 1.88, 3 Co 1.99
2 O 0.3333 0.6667 0.4998  4 Co 1.99-2.02
3 O 0.6667 0.3333 0.1248  4 Co 1.99-2.02
4 O 0.3333 0.6667 0.2496  4 Co 1.99-2.02
5 O 0.3333 0.6667 0.9996  4 Co 1.98-2.02
6 O 0.6667 0.3333 0.6242  4 Co 1.99-2.02
7 O 0.6667 0.3333 0.3747  4 Co 1.99-2.01
8 Li 0.3333 0.6667 0.8394  1 O 1.88, 3 F 2.05
9 Co 0.6667 0.3333 0.7206  4 O 1.99-2.02
10 Co 0.6667 0.3333 0.4707  4 O 1.99-2.01
11 Co 0.6667 0.3333 0.9728  3 O 1.98, 1 F 2.03
12 Co 0.3333 0.6667 0.3458  4 O 1.99-2.02
13 Co 0.3333 0.6667 0.5960  4 O 1.99-2.02
14 Co 0.6667 0.3333 0.2211  4 O 1.99-2.02
15 Co 0.3333 0.6667 0.0960  4 O 1.99-2.02
16 F 0.6667 0.3333 0.8761  1 Co 2.03, 3 Li 2.05

---

4.
## Li5Co7O3F13 (PBE with a Hubbard U)

Data for an optimized crystal structure of Li5Co7O3F13.

## Properties
Energy above the most stable polymorph in this dataset: 135.2 meV per atom
Crystal system: triclinic

Lattice parameters (Å, degrees): 5.9038 6.1841 11.2114 61.94 75.70 60.41
Closest atoms and distances in Å follow each position.
Element x y z (fractional)
1 F 0.8531 0.1093 0.4358  3 Co 2.05-2.22
2 F 0.3529 0.6004 0.4152  1 Li 1.95, 2 Co 1.98-2.11
3 F 0.8940 0.1554 0.6936  3 Li 1.90-2.04, 1 Co 2.02
4 F 0.0809 0.5936 0.9344  1 Li 1.95, 3 Co 2.13-2.15
5 F 0.5565 0.1228 0.9145  2 Li 1.99-2.07, 2 Co 2.06-2.12
6 F 0.2020 0.5548 0.2002  1 Li 1.99, 3 Co 2.08-2.18
7 F 0.4171 0.1795 0.6807  2 Li 1.93-2.08, 2 Co 2.08-2.15
8 F 0.5906 0.6053 0.9428  1 Li 1.93, 2 Co 2.00-2.14
9 F 0.0510 0.1323 0.9412  2 Li 1.95-2.00, 1 Co 2.05
10 F 0.7098 0.5604 0.1780  1 Li 1.96, 2 Co 1.97-2.06
11 F 0.7032 0.0733 0.1969  2 Co 2.03-2.20, 1 Li 2.03
12 F 0.8665 0.5952 0.4543  2 Co 1.99-2.13, 2 Li 2.00-2.12
13 F 0.4612 0.6148 0.6791  2 Li 2.00-2.02, 2 Co 2.05-2.11
14 O 0.3881 0.1113 0.4445  3 Co 1.88-1.92, 1 Li 2.00
15 O 0.9027 0.6387 0.7109  3 Co 1.89-1.94, 1 Li 2.04
16 O 0.1722 0.0676 0.1886  3 Co 1.90-1.92, 1 Li 1.97
17 Co 0.7539 0.8770 0.8049  1 O 1.94, 5 F 2.02-2.15
18 Co 0.2324 0.4058 0.7964  1 O 1.91, 4 F 2.06-2.13
19 Co 0.5348 0.3404 0.3139  1 O 1.88, 3 F 1.97-2.08
20 Co 0.0318 0.8189 0.3077  1 O 1.90, 3 F 1.98-2.03
21 Co 0.1651 0.1808 0.3227  2 O 1.89-1.92, 1 F 2.08
22 Co 0.6675 0.8365 0.5680  2 O 1.89-1.92, 1 F 2.05
23 Co 0.8951 0.3353 0.0646  1 O 1.91, 3 F 2.00-2.06
24 Li 0.7542 0.3617 0.8132  4 F 2.00-2.07, 1 O 2.04
25 Li 0.2296 0.7371 0.0000  4 F 1.93-1.99
26 Li 0.1487 0.2603 0.5761  3 F 1.90-2.00, 1 O 2.00
27 Li 0.5326 0.9579 0.1158  3 F 1.96-2.03, 1 O 1.97
28 Li 0.6025 0.4236 0.5561  5 F 1.95-2.12